VASP calculation (PBE+U) on a relaxed Li2MnOF3 crystal.

a = 2.886 Å, b = 5.019 Å, c = 10.251 Å
α = 90.00°, β = 90.00°, γ = 90.00°
Element x y z (fractional)
Li1 0.000 0.244 0.000
Li2 0.000 0.245 0.565
Li3 0.000 0.755 0.065
Li4 0.000 0.756 0.500
Mn1 0.500 0.229 0.297
Mn2 0.500 0.771 0.797
O1 0.000 0.049 0.375
O2 0.000 0.951 0.875
F1 0.000 0.456 0.216
F2 0.000 0.544 0.716
F3 0.500 0.018 0.113
F4 0.500 0.492 0.476
F5 0.500 0.508 0.976
F6 0.500 0.982 0.613

E above lowest polymorph in meV/atom: 42.9
Calculated density in g cm⁻³: 3.2
Space group: Pmc2_1 (26)